No. 1
DyPuSc4, optimized geometry, DFT GGA-PBE; symmetry = Pmna (53); uncorrected energy = -85.71 eV/cell; E_form = 1.41 eV per formula unit; DOS at the Fermi energy = 1.928 states/eV/atom; E above lowest polymorph = 163 meV/atom; V = 26.4 Å³/atom
1.0
6.004 0.000 0.000
0.000 6.197 0.000
0.000 0.000 8.525
Dy Pu Sc
2 2 8
Cartesian
0.000 0.000 0.000
3.002 0.000 4.263
0.000 3.098 0.000
3.002 3.098 4.263
0.000 1.667 3.246
0.000 4.530 5.279
1.501 1.689 6.394
1.501 4.508 2.131
3.002 1.667 1.016
3.002 4.530 7.509
4.503 1.689 6.394
4.503 4.508 2.131

No. 2
Ba2Cu, optimized geometry, DFT GGA-PBE; symmetry = P-1 (2); uncorrected energy = -16.04 eV/cell; E_form = -0.08 eV per formula unit; DOS at the Fermi energy = 1.129 states/eV/atom; V = 45.1 Å³/atom
1.0
4.512 0.000 0.000
0.007 7.358 0.000
2.251 1.435 8.156
Ba Cu
4 2
Cartesian
1.132 2.551 2.622
3.381 2.677 6.675
3.390 6.116 1.481
5.638 6.242 5.534
3.382 5.667 7.979
3.389 3.126 0.177

No. 3
Ce3Pm2TaN6, optimized geometry, DFT GGA-PBE; symmetry = C2/m (12); uncorrected energy = -106.22 eV/cell; DOS at the Fermi energy = 0.681 states/eV/atom; ΔE_f (raw) = -32.89 kcal/mol of atoms; V = 15.0 Å³/atom
1.0
3.026 -5.237 0.000
3.026 5.237 0.000
-2.010 0.000 5.676
Ce Pm Ta N
3 2 1 6
Cartesian
0.000 0.000 0.000
3.026 1.749 0.000
3.026 -1.749 0.000
2.021 3.493 2.838
2.021 -3.493 2.838
2.021 0.000 2.838
1.122 1.553 1.520
0.217 0.000 4.197
1.122 -1.553 1.520
2.920 1.553 4.156
3.825 0.000 1.480
2.920 -1.553 4.156

No. 4
AlTc2Te, optimized geometry, DFT GGA-PBE; symmetry = R3m (160); uncorrected energy = -80.05 eV/cell; DOS at the Fermi energy = 0.668 states/eV/atom; E above lowest polymorph = 220 meV/atom; ΔE_f (raw) = 5.37 kcal/mol of atoms; V = 17.4 Å³/atom
1.0
3.091 0.000 0.000
-1.546 2.677 0.000
0.000 0.000 25.247
Al Tc Te
3 6 3
Cartesian
0.000 0.000 0.000
0.000 1.785 16.832
1.546 0.892 8.416
0.000 0.000 6.556
0.000 0.000 12.956
0.000 1.785 4.540
0.000 1.785 23.388
1.546 0.892 14.972
1.546 0.892 21.372
0.000 0.000 19.314
0.000 1.785 10.898
1.546 0.892 2.482

No. 5
OsPb2Br, optimized geometry, DFT GGA-PBE; symmetry = I4/mmm (139); uncorrected energy = -33.56 eV/cell; DOS at the Fermi energy = 1.060 states/eV/atom; E above lowest polymorph = 485 meV/atom; ΔE_f (raw) = 20.41 kcal/mol of atoms; V = 24.4 Å³/atom
1.0
4.869 0.000 0.000
0.000 4.869 0.000
0.000 0.000 8.247
Os Pb Br
2 4 2
Cartesian
0.000 0.000 0.000
2.435 2.435 4.124
0.000 2.435 2.062
0.000 2.435 6.185
2.435 0.000 2.062
2.435 0.000 6.185
0.000 0.000 4.124
2.435 2.435 0.000

No. 6
KTaCl2, optimized geometry, DFT GGA-PBE; symmetry = C2/m (12); uncorrected energy = -36.14 eV/cell; DOS at the Fermi energy = 0.346 states/eV/atom; E above lowest polymorph = 73 meV/atom; ΔE_f (raw) = -8.22 kcal/mol of atoms; V = 21.5 Å³/atom
1.0
8.034 0.000 0.000
0.000 3.184 0.000
-1.242 0.000 6.734
K Ta Cl
2 2 4
Cartesian
0.000 0.000 0.000
4.017 1.592 0.000
-0.621 1.592 3.367
3.396 0.000 3.367
1.050 0.000 4.606
1.724 1.592 2.128
5.067 1.592 4.606
5.741 0.000 2.128

No. 7
Fe5Re, optimized geometry, DFT GGA-PBE; symmetry = P6/mmm (191); uncorrected energy = -52.56 eV/cell; E_form = 2.21 eV per formula unit; DOS at the Fermi energy = 0.905 states/eV/atom; E above lowest polymorph = 348 meV/atom; V = 12.0 Å³/atom
1.0
4.589 0.000 0.000
-2.294 3.974 0.000
0.000 0.000 3.942
Fe Re
5 1
Cartesian
-1.147 1.987 0.000
0.000 2.649 1.971
2.294 0.000 0.000
1.147 1.987 0.000
2.294 1.325 1.971
0.000 0.000 1.971

No. 8
CePm2ErN4, optimized geometry, DFT GGA-PBE; symmetry = P2/m (10); uncorrected energy = -65.63 eV/cell; DOS at the Fermi energy = 0.359 states/eV/atom; ΔE_f (raw) = -35.54 kcal/mol of atoms; V = 15.8 Å³/atom
1.0
6.131 0.000 0.000
0.000 3.556 0.000
-2.031 0.000 5.808
Ce Pm Er N
1 2 1 4
Cartesian
0.000 0.000 0.000
-1.015 1.778 2.904
2.050 0.000 2.904
3.066 1.778 0.000
1.030 1.778 1.376
0.000 0.000 4.438
4.100 0.000 1.370
3.070 1.778 4.433

No. 9
Zr2TeN, optimized geometry, DFT GGA-PBE; symmetry = Fm-3m (225); uncorrected energy = -115.89 eV/cell; DOS at the Fermi energy = 0.382 states/eV/atom; E above lowest polymorph = 1010 meV/atom; ΔE_f (raw) = -2.36 kcal/mol of atoms; V = 18.0 Å³/atom
1.0
6.601 0.000 0.000
0.000 6.601 0.000
0.000 0.000 6.601
Zr Te N
8 4 4
Cartesian
1.650 1.650 1.650
1.650 1.650 4.951
1.650 4.951 1.650
1.650 4.951 4.951
4.951 1.650 1.650
4.951 1.650 4.951
4.951 4.951 1.650
4.951 4.951 4.951
0.000 0.000 0.000
0.000 3.301 3.301
3.301 0.000 3.301
3.301 3.301 0.000
0.000 0.000 3.301
0.000 3.301 0.000
3.301 0.000 0.000
3.301 3.301 3.301

No. 10
UIrPdPt, optimized geometry, DFT GGA-PBE; symmetry = Pmmm (47); uncorrected energy = -33.87 eV/cell; E_form = -2.49 eV per formula unit; DOS at the Fermi energy = 1.399 states/eV/atom; V = 17.3 Å³/atom
1.0
4.036 0.000 0.000
0.000 4.050 0.000
0.000 0.000 4.239
U Ir Pd Pt
1 1 1 1
Cartesian
0.000 0.000 0.000
2.018 2.025 0.000
2.018 0.000 2.120
0.000 2.025 2.120

No. 11
AcDy6Y4, optimized geometry, DFT GGA-PBE; symmetry = Cmcm (63); uncorrected energy = -112.08 eV/cell; E_form = 1.54 eV per formula unit; DOS at the Fermi energy = 1.910 states/eV/atom; E above lowest polymorph = 0 meV/atom; V = 33.3 Å³/atom
1.0
2.902 -4.903 0.000
2.902 4.903 0.000
0.000 0.000 25.740
Ac Dy Y
2 12 8
Cartesian
2.902 3.043 19.305
2.902 -3.043 6.435
2.902 3.507 4.626
2.902 3.507 8.244
2.902 3.060 15.426
2.902 3.060 23.184
2.902 0.248 6.435
2.902 0.000 0.000
2.902 0.000 12.870
2.902 -0.248 19.305
2.902 -3.060 2.556
2.902 -3.060 10.314
2.902 -3.507 17.496
2.902 -3.507 21.114
2.902 3.355 1.074
2.902 3.355 11.797
2.902 0.265 3.138
2.902 0.265 9.732
2.902 -0.265 16.008
2.902 -0.265 22.602
2.902 -3.355 13.944
2.902 -3.355 24.667

No. 12
SbTe2WAu, optimized geometry, DFT GGA-PBE; symmetry = P4/mmm (123); uncorrected energy = -22.95 eV/cell; DOS at the Fermi energy = 0.601 states/eV/atom; E above lowest polymorph = 0 meV/atom; ΔE_f (raw) = 16.98 kcal/mol of atoms; V = 29.2 Å³/atom
1.0
5.228 0.000 0.000
0.000 5.228 0.000
0.000 0.000 5.342
Sb Te W Au
1 2 1 1
Cartesian
0.000 0.000 0.000
0.000 2.614 2.671
2.614 0.000 2.671
0.000 0.000 2.671
2.614 2.614 0.000